No. 1
Compound: HfTiNi6
Source: Alexandria
Functional: PBE-GGA
Structure: optimized geometry

Geometry as POSCAR:
```
HfTiNi6
1.0
-6.239 0.263 -1.173
2.122 -5.887 -1.105
-1.966 -2.563 9.882
Hf Ni Ti
4 24 4
Direct
0.748 0.252 0.000
0.252 0.748 0.000
0.500 0.500 0.253
0.500 0.500 0.747
0.369 0.121 0.871
0.369 0.121 0.129
0.500 0.500 0.500
0.247 0.753 0.255
0.753 0.247 0.745
0.000 0.000 0.500
0.500 0.500 0.000
0.628 0.881 0.379
0.119 0.372 0.621
0.753 0.247 0.255
0.119 0.372 0.379
0.631 0.879 0.871
0.372 0.119 0.379
0.881 0.628 0.621
0.879 0.631 0.129
0.000 0.000 0.000
0.121 0.369 0.129
0.879 0.631 0.871
0.121 0.369 0.871
0.628 0.881 0.621
0.631 0.879 0.129
0.372 0.119 0.621
0.247 0.753 0.745
0.881 0.628 0.379
0.000 0.000 0.747
0.000 0.000 0.253
0.251 0.749 0.500
0.749 0.251 0.500
```

M_tot ... 0.00 μB/atom
Symmetry ... No. 65
VASP energy ... -225.52 eV for the cell shown
Energy of formation ... -46.4 kJ/mol of atoms
Fermi-level density of states ... 2.08 states/eV/f.u.

***

No. 2
Compound: Hf2TiNi6
Source: Alexandria
Functional: PBE-GGA
Structure: optimized geometry

Geometry as POSCAR:
```
Hf2TiNi6
1.0
3.000 0.000 -0.451
0.000 7.606 0.000
-2.182 -3.803 5.917
Ni Hf Ti
6 2 1
Direct
0.826 0.007 0.326
0.174 0.681 0.674
0.826 0.319 0.326
0.500 0.344 0.000
0.174 0.993 0.674
0.500 0.656 0.000
0.339 0.670 0.339
0.661 0.330 0.661
0.000 0.000 0.000
```

M_tot ... 0.00 μB/atom
Symmetry ... No. 65
Relative energy among the computed polymorphs ... 1.119 eV/f.u.
VASP energy ... -65.05 eV for the cell shown
Energy of formation ... -27.4 kJ/mol of atoms
Fermi-level density of states ... 10.02 states/eV/f.u.

***

No. 3
Compound: Hf2Ti3Ni2
Source: Alexandria
Functional: PBE-GGA
Structure: optimized geometry

Geometry as POSCAR:
```
Hf2Ti3Ni2
1.0
3.979 0.000 0.000
-1.990 5.025 -0.381
0.000 -2.780 6.151
Ni Hf Ti
2 2 3
Direct
0.143 0.287 0.192
0.857 0.713 0.808
0.136 0.272 0.788
0.864 0.728 0.212
0.630 0.260 0.460
0.370 0.740 0.540
0.500 0.000 0.000
```

M_tot ... 0.00 μB/atom
Symmetry ... No. 12
VASP energy ... -56.66 eV for the cell shown
Energy of formation ... -20.8 kJ/mol of atoms
Fermi-level density of states ... 6.96 states/eV/f.u.

***

No. 4
Compound: HfTiNi3
Source: Alexandria
Functional: PBE-GGA
Structure: optimized geometry

Geometry as POSCAR:
```
HfTiNi3
1.0
-2.007 -3.646 3.234
-0.936 -3.445 -4.465
4.974 -0.248 2.807
Ti Ni Hf
2 6 2
Direct
0.500 0.000 0.000
0.000 0.000 0.000
0.250 0.801 0.199
0.750 0.602 0.801
0.250 0.398 0.199
0.750 0.199 0.398
0.750 0.199 0.801
0.250 0.801 0.602
0.750 0.667 0.333
0.250 0.333 0.667
```

M_tot ... 0.00 μB/atom
Symmetry ... No. 194
Relative energy among the computed polymorphs ... 1.114 eV/f.u.
VASP energy ... -71.55 eV for the cell shown
Energy of formation ... -11.3 kJ/mol of atoms
Fermi-level density of states ... 2.68 states/eV/f.u.